1.
BaHfBeNi after structural relaxation. Source: OQMD via LeMat-Bulk, functional PBE.

Cell lengths 4.7661, 4.7661, 4.7661 Å; angles 60.00, 60.00, 60.00 degrees
With the nearest neighbours (Å) after each atom.
Positions (direct):
Ba 0.0000 0.0000 0.0000  4 Hf 2.92, 4 Be 2.92
Hf 0.7500 0.7500 0.7500  4 Ni 2.92, 4 Ba 2.92
Be 0.2500 0.2500 0.2500  4 Ni 2.92, 4 Ba 2.92
Ni 0.5000 0.5000 0.5000  4 Hf 2.92, 4 Be 2.92

Calculated values
SG = F-43m (216)
Distance to the lowest polymorph of the same formula = 125 meV per atom

---

2.
NdMgZn after structural relaxation. Source: OQMD via LeMat-Bulk, functional PBE.

Cell lengths 4.8333, 4.8333, 4.8333 Å; angles 60.00, 60.00, 60.00 degrees
With the nearest neighbours (Å) after each atom.
Positions (direct):
Nd 0.0000 0.0000 0.0000  4 Zn 2.96
Mg 0.5000 0.5000 0.5000  4 Zn 2.96
Zn 0.7500 0.7500 0.7500  4 Mg 2.96, 4 Nd 2.96

Calculated values
SG = F-43m (216)
Electronic total energy = -0.19334 Ry/atom